1.
Here is a geometry-optimized RbZnSbCl6 structure from Alexandria via LeMat-Bulk. Energies are from PBE.

Space group: No. 149

Cell and atoms, written as POSCAR:
```
RbZnSbCl6
1.0
-3.9650 3.8505 -3.9272
-6.6147 -1.3886 -0.5364
-1.3848 4.3907 5.7040
Rb Zn Sb Cl
1 1 1 6
direct
0.0000 0.0000 0.0000 Rb
0.3334 0.3334 0.5000 Zn
0.6666 0.6666 0.5000 Sb
0.0202 0.3638 0.2994 Cl
0.3638 0.0203 0.7006 Cl
0.6158 0.3640 0.7007 Cl
0.0200 0.6161 0.7006 Cl
0.3640 0.6158 0.2993 Cl
0.6160 0.0200 0.2994 Cl
```



2.
Here is a geometry-optimized RbZrSbCl2 structure from Alexandria via LeMat-Bulk. Energies are from PBE.

Space group: No. 123

Cell and atoms, written as POSCAR:
```
RbZrSbCl2
1.0
-2.1443 4.5251 -0.8634
-3.5122 -0.0817 8.2949
4.1589 2.3111 1.7837
Sb Rb Zr Cl
1 1 1 2
direct
0.5000 0.5000 0.5000 Sb
0.0000 0.5000 0.0000 Rb
0.0000 0.0000 0.0000 Zr
0.0000 0.0000 0.5000 Cl
0.5000 0.0000 0.0000 Cl
```



3.
Here is a geometry-optimized RbSc2Cl6 structure from Alexandria via LeMat-Bulk. Energies are from PBE.

Space group: No. 162

Cell and atoms, written as POSCAR:
```
RbSc2Cl6
1.0
-1.1515 1.3657 -7.3117
5.7348 -2.8940 -1.4436
-5.5289 -3.5689 0.2041
Rb Sc Cl
1 2 6
direct
0.0000 0.0000 0.0000 Rb
0.5000 0.6667 0.3333 Sc
0.5000 0.3333 0.6667 Sc
0.6962 0.6325 0.6325 Cl
0.3038 0.6325 0.0000 Cl
0.3038 0.0000 0.6325 Cl
0.6962 0.3675 0.0000 Cl
0.3038 0.3675 0.3675 Cl
0.6962 0.0000 0.3675 Cl
```



4.
Here is a geometry-optimized Rb2ScCl structure from Alexandria via LeMat-Bulk. Energies are from PBE.

Space group: No. 122
Energy above the lowest structure with this stoichiometry in eV per atom: 0.000

Cell and atoms, written as POSCAR:
```
Rb2ScCl
1.0
-2.8974 -8.2032 -4.1749
6.8908 -4.8349 4.7179
-0.8614 -7.2519 3.6950
Sc Rb Cl
2 4 2
direct
0.0000 0.0000 0.0000 Sc
0.7500 0.2500 0.5000 Sc
0.5476 0.1250 0.2500 Rb
0.2024 0.6250 0.2500 Rb
0.3750 0.4524 0.7500 Rb
0.8750 0.7976 0.7500 Rb
0.5000 0.5000 0.0000 Cl
0.2500 0.7500 0.5000 Cl
```



5.
Here is a geometry-optimized Rb3Sc2Cl9 structure from Alexandria via LeMat-Bulk. Energies are from PBE.

Space group: No. 167

Cell and atoms, written as POSCAR:
```
Rb3Sc2Cl9
1.0
-8.6248 -2.6607 -3.1061
-3.7776 -2.0468 8.5237
-4.4180 8.3446 1.4009
Rb Sc Cl
6 4 18
direct
0.4124 0.7500 0.0876 Rb
0.2500 0.9124 0.5876 Rb
0.9124 0.5876 0.2500 Rb
0.0876 0.4124 0.7500 Rb
0.7500 0.0876 0.4124 Rb
0.5876 0.2500 0.9124 Rb
0.1546 0.1546 0.1546 Sc
0.6546 0.6546 0.6546 Sc
0.8454 0.8454 0.8454 Sc
0.3454 0.3454 0.3454 Sc
0.7365 0.9111 0.0732 Cl
0.0889 0.9268 0.2635 Cl
0.2500 0.4033 0.0967 Cl
0.5889 0.7635 0.4268 Cl
0.5967 0.9033 0.7500 Cl
0.9033 0.7500 0.5967 Cl
0.2365 0.5732 0.4111 Cl
0.5732 0.4111 0.2365 Cl
0.9268 0.2635 0.0889 Cl
0.0732 0.7365 0.9111 Cl
0.4268 0.5889 0.7635 Cl
0.4033 0.0967 0.2500 Cl
0.7635 0.4268 0.5889 Cl
0.0967 0.2500 0.4033 Cl
0.4111 0.2365 0.5732 Cl
0.7500 0.5967 0.9033 Cl
0.9111 0.0732 0.7365 Cl
0.2635 0.0889 0.9268 Cl
```



6.
Here is a geometry-optimized Rb2Sc2Cl7 structure from Alexandria via LeMat-Bulk. Energies are from PBE.

Space group: No. 12

Cell and atoms, written as POSCAR:
```
Rb2Sc2Cl7
1.0
-2.8448 -3.8917 5.4590
6.6230 -5.0375 -1.3905
0.6193 7.2620 4.2491
Rb Sc Cl
2 2 7
direct
0.5000 0.3123 0.6877 Rb
0.5000 0.6877 0.3123 Rb
0.8919 0.2777 0.2777 Sc
0.1081 0.7223 0.7223 Sc
0.2515 0.9299 0.6330 Cl
0.7485 0.3670 0.0701 Cl
0.7485 0.0701 0.3670 Cl
0.2515 0.6330 0.9299 Cl
0.0000 0.0000 0.0000 Cl
0.7732 0.5594 0.5594 Cl
0.2268 0.4406 0.4406 Cl
```



7.
Here is a geometry-optimized RbSc2Cl structure from Alexandria via LeMat-Bulk. Energies are from PBE.

Space group: No. 141
Energy above the lowest structure with this stoichiometry in eV per atom: 0.287

Cell and atoms, written as POSCAR:
```
RbSc2Cl
1.0
6.1587 0.0000 0.0000
0.0000 6.1587 0.0000
3.0794 3.0794 8.5405
Sc Rb Cl
4 2 2
direct
0.3750 0.1250 0.2500 Sc
0.3750 0.6250 0.2500 Sc
0.3750 0.6250 0.7500 Sc
0.8750 0.6250 0.7500 Sc
0.0000 0.0000 0.0000 Rb
0.7500 0.2500 0.5000 Rb
0.5000 0.5000 0.0000 Cl
0.2500 0.7500 0.5000 Cl
```



8.
Here is a geometry-optimized Rb2ScCl structure from Alexandria via LeMat-Bulk. Energies are from PBE.

Space group: No. 225
Energy above the lowest structure with this stoichiometry in eV per atom: 0.195

Cell and atoms, written as POSCAR:
```
Rb2ScCl
1.0
1.8703 -6.2068 0.2971
3.6727 -2.0491 4.9420
-2.5205 -3.9364 4.5015
Sc Rb Cl
1 2 1
direct
0.5000 0.5000 0.5000 Sc
0.2500 0.2500 0.2500 Rb
0.7500 0.7500 0.7500 Rb
0.0000 0.0000 0.0000 Cl
```



9.
Here is a geometry-optimized RbScCl2 structure from Alexandria via LeMat-Bulk. Energies are from PBE.

Space group: No. 166
Energy above the lowest structure with this stoichiometry in eV per atom: 0.000

Cell and atoms, written as POSCAR:
```
RbScCl2
1.0
2.3924 0.0000 9.0936
-1.1962 2.0719 9.0936
-1.1962 -2.0719 9.0936
Sc Rb Cl
1 1 2
direct
0.0000 0.0000 0.0000 Sc
0.5000 0.5000 0.5000 Rb
0.9102 0.9102 0.9102 Cl
0.0898 0.0898 0.0898 Cl
```



10.
Here is a geometry-optimized Rb2ScCl7 structure from Alexandria via LeMat-Bulk. Energies are from PBE.

Space group: No. 139

Cell and atoms, written as POSCAR:
```
Rb2ScCl7
1.0
8.2504 0.0000 0.0000
0.0000 8.2504 0.0000
4.1252 4.1252 4.5469
Sc Rb Cl
1 2 7
direct
0.0000 0.0000 0.0000 Sc
0.7500 0.2500 0.5000 Rb
0.2500 0.7500 0.5000 Rb
0.5000 0.5000 0.0000 Cl
0.2633 0.2633 0.4734 Cl
0.7367 0.7367 0.5266 Cl
0.2127 0.2127 0.0000 Cl
0.7873 0.7873 0.0000 Cl
0.7873 0.2127 0.0000 Cl
0.2127 0.7873 0.0000 Cl
```



no.,total magnetic moment (Bohr magnetons per cell),E_form (uncorrected) (eV per atom)
1,0.00,-1.196
2,4.02,-0.349
3,1.03,-2.038
4,4.00,-0.123
5,0.00,-2.099
6,1.03,-1.957
7,4.16,0.151
8,2.00,0.071
9,0.05,-1.330
10,0.00,-1.518